No. 1
TaMo | PBE | relaxed

Cell lengths 7.227, 7.227, 7.227 Å; angles 143.61, 142.58, 53.19 degrees
Element x y z (fractional)
Ta (0.064, 0.814, 0.250)
Ta (0.311, 0.061, 0.250)
Ta (0.689, 0.939, 0.750)
Ta (0.936, 0.186, 0.750)
Mo (0.186, 0.436, 0.750)
Mo (0.439, 0.689, 0.750)
Mo (0.561, 0.311, 0.250)
Mo (0.814, 0.564, 0.250)

Properties
Total magnetization (μB/atom): 0.00
Symmetry: No. 74
Calculated formation energy (eV/atom): -0.1129

No. 2
CaRh2ClF | PBE | relaxed

Cell lengths 5.255, 5.255, 5.015 Å; angles 90.00, 90.00, 90.00 degrees
Element x y z (fractional)
Ca (0.000, 0.000, 0.000)
Rh (0.000, 0.500, 0.000)
Rh (0.500, 0.000, 0.000)
Cl (0.000, 0.000, 0.500)
F (0.500, 0.500, 0.500)

Properties
Total magnetization (μB/atom): 0.45
Symmetry: No. 123
E_form (uncorrected) (eV/atom): 0.630

No. 3
Y3ZrAl | PBE | relaxed

Cell lengths 5.457, 5.457, 5.457 Å; angles 90.00, 90.00, 90.00 degrees
Element x y z (fractional)
Y (0.000, 0.000, 0.500)
Y (0.000, 0.500, 0.000)
Y (0.500, 0.000, 0.000)
Zr (0.000, 0.000, 0.000)
Al (0.500, 0.500, 0.500)

Properties
Energy relative to the lowest polymorph listed for this composition (eV/atom): 0.184
Total magnetization (μB/atom): 0.00
Symmetry: No. 221
Calculated formation energy (eV/atom): 0.7527

No. 4
La4Pr7Dy | PBE | relaxed

Cell lengths 6.430, 7.408, 9.809 Å; angles 79.34, 71.15, 89.95 degrees
Element x y z (fractional)
La (0.000, 0.084, 0.167)
La (0.000, 0.916, 0.833)
La (0.500, 0.334, 0.169)
La (0.500, 0.666, 0.831)
Pr (0.001, 0.748, 0.500)
Pr (0.003, 0.418, 0.831)
Pr (0.500, 0.000, 0.500)
Pr (0.500, 0.168, 0.831)
Pr (0.500, 0.832, 0.169)
Pr (0.997, 0.582, 0.169)
Pr (0.999, 0.252, 0.500)
Dy (0.500, 0.500, 0.500)

Properties
Energy relative to the lowest polymorph listed for this composition (eV/atom): 0.000
Total magnetization (μB/atom): 0.00
Symmetry: No. 2
Calculated formation energy (eV/atom): 0.0130